LaTb2Y3As6 PBE optimized geometry; E = -6.669 eV/atom; Fermi-level density of states = 0.137 states/eV/atom; space-group type = C2/m
1.0
7.2282 -0.0006 0.0005
-3.6128 6.2605 0.0005
-1.2058 -2.0878 6.8127
La Tb Y As
1 2 3 6
Direct
0.0000 0.0000 0.0000
0.3329 0.6671 0.0000
0.6671 0.3329 0.0000
0.1652 0.8348 0.5000
0.8348 0.1652 0.5000
0.5000 0.5000 0.5000
0.9149 0.5750 0.7451
0.7446 0.7446 0.2539
0.0851 0.4250 0.2549
0.5750 0.9149 0.7451
0.2554 0.2554 0.7461
0.4250 0.0851 0.2549